No. 1
## Gd3SnC (GGA-PBE)

Data for an optimized crystal structure of Gd3SnC.

Cell lengths 4.9468, 4.9468, 4.9468 Å; angles 90.00, 90.00, 90.00 degrees
With the nearest neighbours (Å) after each atom.
Sites, in units of the cell vectors:
Gd: 0.0000 0.0000 0.5000  2 C 2.47
Gd: 0.0000 0.5000 0.0000  2 C 2.47
Gd: 0.5000 0.0000 0.0000  2 C 2.47
Sn: 0.5000 0.5000 0.5000  12 Gd 3.50
C: 0.0000 0.0000 0.0000  6 Gd 2.47

Summary:
For the final energy, the calculation gives -11.70 eV/atom. As for the formation energy: -13.992 kcal/mol of atoms. As for the total moment: 21.552 μB/f.u.

No. 2
## GdTa2C (GGA-PBE)

Data for an optimized crystal structure of GdTa2C.

Cell lengths 8.7167, 8.7167, 8.7167 Å; angles 20.80, 20.80, 20.80 degrees
With the nearest neighbours (Å) after each atom.
Sites, in units of the cell vectors:
Gd: 0.0000 0.0000 0.0000  2 Ta 3.05, 6 Gd 3.15
Ta: 0.1192 0.1192 0.1192  3 C 2.19
Ta: 0.8808 0.8808 0.8808  3 C 2.19
C: 0.5000 0.5000 0.5000  6 Ta 2.19

Summary:
For the final energy, the calculation gives -11.74 eV/atom. As for the formation energy: 0.346 kcal/mol of atoms. As for the total moment: 7.744 μB/f.u.

No. 3
## Tb2GdC (GGA-PBE)

Data for an optimized crystal structure of Tb2GdC.

Cell lengths 9.4881, 9.4881, 9.4881 Å; angles 21.78, 21.78, 21.78 degrees
With the nearest neighbours (Å) after each atom.
Sites, in units of the cell vectors:
Tb: 0.2160 0.2160 0.2160  3 C 2.48
Tb: 0.7840 0.7840 0.7840  3 C 2.48
Gd: 0.0000 0.0000 0.0000  6 Gd 3.59, 6 Tb 3.86
C: 0.5000 0.5000 0.5000  6 Tb 2.48

Summary:
For the final energy, the calculation gives -8.28 eV/atom. As for the formation energy: -3.235 kcal/mol of atoms. As for the total moment: 7.996 μB/f.u.

No. 4
## Gd2TeC (GGA-PBE)

Data for an optimized crystal structure of Gd2TeC.

Cell lengths 7.4477, 7.4477, 7.4477 Å; angles 30.19, 30.19, 30.19 degrees
With the nearest neighbours (Å) after each atom.
Sites, in units of the cell vectors:
Gd: 0.2295 0.2295 0.2295  3 C 2.61
Gd: 0.7705 0.7705 0.7705  3 C 2.61
Te: 0.0000 0.0000 0.0000  6 Gd 3.15
C: 0.5000 0.5000 0.5000  6 Gd 2.61

Summary:
For the final energy, the calculation gives -10.97 eV/atom. As for the total moment: 14.002 μB/f.u.